# 1
# MnZnSi3

A relaxed structure of MnZnSi3 (PBE, the Alexandria database).

Lattice parameters (Å, degrees): 4.4296 4.4296 4.4296 90.00 90.00 90.00
Closest atoms and distances in Å follow each position.
Atoms (fractional coordinates):
Mn 0.0000 0.0000 0.0000  6 Si 2.21
Zn 0.5000 0.5000 0.5000  12 Si 3.13
Si 0.0000 0.0000 0.5000  2 Mn 2.21
Si 0.0000 0.5000 0.0000  2 Mn 2.21
Si 0.5000 0.0000 0.0000  2 Mn 2.21

Summary:
Distance to the lowest polymorph of the same formula = 0 meV/atom
Space group = Pm-3m (221)
Total magnetization = 0.97 Bohr magnetons per cell
DOS at the Fermi energy = 0.5509 states/eV/atom

# 2
# MnZn2Si2

A relaxed structure of MnZn2Si2 (PBE, the Alexandria database).

Lattice parameters (Å, degrees): 6.1626 6.1626 3.7185 90.00 90.00 90.00
Closest atoms and distances in Å follow each position.
Atoms (fractional coordinates):
Mn 0.0000 0.0000 0.0000  4 Si 2.38
Mn 0.5000 0.5000 0.0000  4 Si 2.38
Zn 0.1676 0.3324 0.5000  6 Si 2.50-2.66
Zn 0.3324 0.8324 0.5000  6 Si 2.50-2.66
Zn 0.6676 0.1676 0.5000  6 Si 2.50-2.66
Zn 0.8324 0.6676 0.5000  6 Si 2.50-2.66
Si 0.1411 0.6411 0.0000  2 Mn 2.38, 1 Si 2.46, 2 Zn 2.50
Si 0.3589 0.1411 0.0000  2 Mn 2.38, 1 Si 2.46, 2 Zn 2.50
Si 0.6411 0.8589 0.0000  2 Mn 2.38, 1 Si 2.46, 2 Zn 2.50
Si 0.8589 0.3589 0.0000  2 Mn 2.38, 1 Si 2.46, 2 Zn 2.50

Summary:
Distance to the lowest polymorph of the same formula = 0 meV/atom
Space group = P4/mbm (127)
Total magnetization = 0.00 Bohr magnetons per cell
DOS at the Fermi energy = 1.0722 states/eV/atom

# 3
# MnZnSi4

A relaxed structure of MnZnSi4 (PBE, the Alexandria database).

Lattice parameters (Å, degrees): 5.0192 5.0192 5.0192 60.00 60.00 60.00
Closest atoms and distances in Å follow each position.
Atoms (fractional coordinates):
Mn 0.0000 0.0000 0.0000  12 Si 2.94, 4 Zn 3.07
Zn 0.2500 0.2500 0.2500  12 Si 2.94, 4 Mn 3.07
Si 0.1246 0.6251 0.6251  6 Si 2.51
Si 0.6251 0.1246 0.6251  6 Si 2.51
Si 0.6251 0.6251 0.1246  6 Si 2.51
Si 0.6251 0.6251 0.6251  6 Si 2.51

Summary:
Space group = F-43m (216)
VASP energy = -4.9355 eV per atom
Total magnetization = 3.84 Bohr magnetons per cell
DOS at the Fermi energy = 0.5423 states/eV/atom

# 4
# MnZn2Si

A relaxed structure of MnZn2Si (PBE, the Alexandria database).

Lattice parameters (Å, degrees): 3.7128 3.7128 3.9093 90.00 90.00 90.00
Closest atoms and distances in Å follow each position.
Atoms (fractional coordinates):
Mn 0.0000 0.0000 0.0000  4 Si 2.63, 8 Zn 2.70
Zn 0.0000 0.5000 0.5000  4 Zn 2.63, 4 Mn 2.70, 4 Si 2.70
Zn 0.5000 0.0000 0.5000  4 Zn 2.63, 4 Mn 2.70, 4 Si 2.70
Si 0.5000 0.5000 0.0000  4 Mn 2.63, 8 Zn 2.70

Summary:
Space group = P4/mmm (123)
VASP energy = -4.2797 eV per atom
Total magnetization = 2.76 Bohr magnetons per cell
DOS at the Fermi energy = 0.3339 states/eV/atom

# 5
# MnZn2Si

A relaxed structure of MnZn2Si (PBE, the Alexandria database).

Lattice parameters (Å, degrees): 2.6169 4.7616 4.3865 90.00 91.85 90.00
Closest atoms and distances in Å follow each position.
Atoms (fractional coordinates):
Mn 0.0000 0.0000 0.0000  4 Si 2.52-2.59, 2 Mn 2.62, 4 Zn 2.70
Zn 0.2765 0.5000 0.2436  6 Zn 2.47-2.71, 2 Si 2.69, 2 Mn 2.70
Zn 0.7235 0.5000 0.7564  6 Zn 2.47-2.71, 2 Si 2.69, 2 Mn 2.70
Si 0.5000 0.0000 0.5000  4 Mn 2.52-2.59, 2 Si 2.62, 4 Zn 2.69

Summary:
Space group = P2/m (10)
VASP energy = -4.2320 eV per atom
Total magnetization = 2.14 Bohr magnetons per cell
DOS at the Fermi energy = 0.4350 states/eV/atom

# 6
# Mn2ZnSi2

A relaxed structure of Mn2ZnSi2 (PBE, the Alexandria database).

Lattice parameters (Å, degrees): 6.7041 6.7041 2.7344 90.00 90.00 90.00
Closest atoms and distances in Å follow each position.
Atoms (fractional coordinates):
Mn 0.1571 0.3429 0.0000  6 Si 2.39-2.40
Mn 0.3429 0.8429 0.0000  6 Si 2.39-2.40
Mn 0.6571 0.1571 0.0000  6 Si 2.39-2.40
Mn 0.8429 0.6571 0.0000  6 Si 2.39-2.40
Zn 0.0000 0.0000 0.5000  4 Si 2.60, 2 Zn 2.73, 8 Mn 2.87
Zn 0.5000 0.5000 0.5000  4 Si 2.60, 2 Zn 2.73, 8 Mn 2.87
Si 0.1366 0.6366 0.5000  6 Mn 2.39-2.40, 1 Si 2.59, 2 Zn 2.60
Si 0.3634 0.1366 0.5000  6 Mn 2.39-2.40, 1 Si 2.59, 2 Zn 2.60
Si 0.6366 0.8634 0.5000  6 Mn 2.39-2.40, 1 Si 2.59, 2 Zn 2.60
Si 0.8634 0.3634 0.5000  6 Mn 2.39-2.40, 1 Si 2.59, 2 Zn 2.60

Summary:
Space group = P4/mbm (127)
VASP energy = -6.2571 eV per atom
Total magnetization = 4.59 Bohr magnetons per cell
DOS at the Fermi energy = 0.5396 states/eV/atom

# 7
# MnZn2Si

A relaxed structure of MnZn2Si (PBE, the Alexandria database).

Lattice parameters (Å, degrees): 6.0061 6.0061 6.0061 90.00 90.00 90.00
Closest atoms and distances in Å follow each position.
Atoms (fractional coordinates):
Mn 0.0000 0.0000 0.0000  4 Zn 2.60, 4 Si 2.60
Mn 0.0000 0.5000 0.5000  4 Si 2.60, 4 Zn 2.60
Mn 0.5000 0.0000 0.5000  4 Si 2.60, 4 Zn 2.60
Mn 0.5000 0.5000 0.0000  4 Si 2.60, 4 Zn 2.60
Zn 0.0000 0.0000 0.5000  4 Si 2.60, 4 Zn 2.60
Zn 0.0000 0.5000 0.0000  4 Si 2.60, 4 Zn 2.60
Zn 0.2500 0.2500 0.7500  4 Mn 2.60, 4 Zn 2.60
Zn 0.2500 0.7500 0.2500  4 Mn 2.60, 4 Zn 2.60
Zn 0.5000 0.0000 0.0000  4 Si 2.60, 4 Zn 2.60
Zn 0.5000 0.5000 0.5000  4 Zn 2.60, 4 Si 2.60
Zn 0.7500 0.2500 0.2500  4 Mn 2.60, 4 Zn 2.60
Zn 0.7500 0.7500 0.7500  4 Zn 2.60, 4 Mn 2.60
Si 0.2500 0.2500 0.2500  4 Mn 2.60, 4 Zn 2.60
Si 0.2500 0.7500 0.7500  4 Mn 2.60, 4 Zn 2.60
Si 0.7500 0.2500 0.7500  4 Mn 2.60, 4 Zn 2.60
Si 0.7500 0.7500 0.2500  4 Mn 2.60, 4 Zn 2.60

Summary:
Space group = F-43m (216)
VASP energy = -4.0675 eV per atom
Total magnetization = 9.19 Bohr magnetons per cell
DOS at the Fermi energy = 1.0236 states/eV/atom

# 8
# MnZn2Si

A relaxed structure of MnZn2Si (PBE, the Alexandria database).

Lattice parameters (Å, degrees): 3.5403 3.5403 8.3716 90.00 90.00 90.00
Closest atoms and distances in Å follow each position.
Atoms (fractional coordinates):
Mn 0.0000 0.0000 0.0000  4 Si 2.50, 8 Zn 2.74
Mn 0.5000 0.5000 0.5000  4 Si 2.50, 8 Zn 2.74
Zn 0.0000 0.5000 0.2500  4 Zn 2.50, 4 Mn 2.74, 4 Si 2.74
Zn 0.0000 0.5000 0.7500  4 Zn 2.50, 4 Mn 2.74, 4 Si 2.74
Zn 0.5000 0.0000 0.2500  4 Zn 2.50, 4 Mn 2.74, 4 Si 2.74
Zn 0.5000 0.0000 0.7500  4 Zn 2.50, 4 Mn 2.74, 4 Si 2.74
Si 0.0000 0.0000 0.5000  4 Mn 2.50, 8 Zn 2.74
Si 0.5000 0.5000 0.0000  4 Mn 2.50, 8 Zn 2.74

Summary:
Space group = I4/mmm (139)
VASP energy = -4.2799 eV per atom
Total magnetization = 3.38 Bohr magnetons per cell
DOS at the Fermi energy = 0.3931 states/eV/atom

# 9
# MnZn2Si

A relaxed structure of MnZn2Si (PBE, the Alexandria database).

Lattice parameters (Å, degrees): 2.7423 2.7423 25.2354 90.00 90.00 120.00
Closest atoms and distances in Å follow each position.
Atoms (fractional coordinates):
Mn 0.0000 0.0000 0.0000  3 Si 2.43, 3 Zn 2.62
Mn 0.3333 0.6667 0.6667  3 Si 2.43, 3 Zn 2.62
Mn 0.6667 0.3333 0.3333  3 Si 2.43, 3 Zn 2.62
Zn 0.0000 0.0000 0.2508  3 Mn 2.62, 9 Zn 2.74-2.77
Zn 0.0000 0.0000 0.4940  3 Si 2.72, 9 Zn 2.74-2.77
Zn 0.3333 0.6667 0.1607  3 Si 2.72, 9 Zn 2.74-2.77
Zn 0.3333 0.6667 0.9175  3 Mn 2.62, 9 Zn 2.74-2.77
Zn 0.6667 0.3333 0.5841  3 Mn 2.62, 9 Zn 2.74-2.77
Zn 0.6667 0.3333 0.8273  3 Si 2.72, 9 Zn 2.74-2.77
Si 0.0000 0.0000 0.7396  3 Mn 2.43
Si 0.3333 0.6667 0.4063  3 Mn 2.43
Si 0.6667 0.3333 0.0730  3 Mn 2.43

Summary:
Space group = R3m (160)
VASP energy = -4.2297 eV per atom
Total magnetization = 6.11 Bohr magnetons per cell
DOS at the Fermi energy = 0.1928 states/eV/atom

# 10
# MnZn2Si

A relaxed structure of MnZn2Si (PBE, the Alexandria database).

Lattice parameters (Å, degrees): 2.6385 2.6385 8.4167 90.00 90.00 90.00
Closest atoms and distances in Å follow each position.
Atoms (fractional coordinates):
Mn 0.0000 0.0000 0.0000  4 Mn 2.64, 8 Zn 2.65
Zn 0.5000 0.5000 0.2234  4 Zn 2.64, 4 Mn 2.65
Zn 0.5000 0.5000 0.7766  4 Zn 2.64, 4 Mn 2.65
Si 0.0000 0.0000 0.5000  4 Si 2.64

Summary:
Space group = P4/mmm (123)
VASP energy = -4.0880 eV per atom
Total magnetization = 2.87 Bohr magnetons per cell
DOS at the Fermi energy = 0.4237 states/eV/atom

# 11
# MnZn2Si

A relaxed structure of MnZn2Si (PBE, the Alexandria database).

Lattice parameters (Å, degrees): 9.1283 2.7261 4.7875 90.00 115.49 90.00
Closest atoms and distances in Å follow each position.
Atoms (fractional coordinates):
Mn 0.0000 0.0000 0.0000  3 Si 2.45-2.54, 4 Zn 2.65-2.66, 2 Mn 2.73
Mn 0.5000 0.5000 0.0000  3 Si 2.45-2.54, 4 Zn 2.65-2.66, 2 Mn 2.73
Zn 0.0089 0.5000 0.5323  5 Zn 2.47-2.73, 2 Mn 2.65, 3 Si 2.69-2.73
Zn 0.2479 0.5000 0.4174  5 Zn 2.47-2.73, 3 Mn 2.66-2.75, 2 Si 2.67
Zn 0.5089 0.0000 0.5323  5 Zn 2.47-2.73, 2 Mn 2.65, 3 Si 2.69-2.73
Zn 0.7479 0.0000 0.4174  5 Zn 2.47-2.73, 3 Mn 2.66-2.75, 2 Si 2.67
Si 0.2681 0.0000 0.9562  3 Mn 2.45-2.54, 5 Zn 2.67-2.73, 2 Si 2.73
Si 0.7681 0.5000 0.9562  3 Mn 2.45-2.54, 5 Zn 2.67-2.73, 2 Si 2.73

Summary:
Space group = Cm (8)
VASP energy = -4.2604 eV per atom
Total magnetization = 3.59 Bohr magnetons per cell
DOS at the Fermi energy = 0.3510 states/eV/atom

# 12
# MnZn2Si

A relaxed structure of MnZn2Si (PBE, the Alexandria database).

Lattice parameters (Å, degrees): 2.7982 3.5462 5.3819 90.00 90.00 90.00
Closest atoms and distances in Å follow each position.
Atoms (fractional coordinates):
Mn 0.0000 0.0000 0.0000  4 Si 2.48, 6 Zn 2.60-2.78
Zn 0.0000 0.0000 0.4836  2 Mn 2.60-2.78, 6 Zn 2.60-2.80, 4 Si 2.75
Zn 0.5000 0.5000 0.7240  1 Si 2.52, 6 Zn 2.60-2.80, 4 Mn 2.70
Si 0.5000 0.5000 0.1918  4 Mn 2.48, 5 Zn 2.52-2.75

Summary:
Space group = Pmm2 (25)
VASP energy = -4.2872 eV per atom
Total magnetization = 1.83 Bohr magnetons per cell
DOS at the Fermi energy = 0.4879 states/eV/atom

# 13
# MnZn2Si

A relaxed structure of MnZn2Si (PBE, the Alexandria database).

Lattice parameters (Å, degrees): 3.6450 3.9421 7.7287 90.00 90.00 90.00
Closest atoms and distances in Å follow each position.
Atoms (fractional coordinates):
Mn 0.0000 0.0000 0.0000  4 Si 2.45-2.56, 4 Zn 2.63-2.74, 4 Mn 2.68
Mn 0.5000 0.5000 0.0000  4 Si 2.45-2.56, 4 Zn 2.63-2.74, 4 Mn 2.68
Zn 0.0000 0.0000 0.4844  8 Zn 2.68-2.87, 4 Si 2.79-2.89
Zn 0.0000 0.5000 0.7544  4 Mn 2.63-2.74, 8 Zn 2.68-2.87
Zn 0.5000 0.0000 0.7544  4 Mn 2.63-2.74, 8 Zn 2.68-2.87
Zn 0.5000 0.5000 0.4844  8 Zn 2.68-2.87, 4 Si 2.79-2.89
Si 0.0000 0.5000 0.2113  4 Mn 2.45-2.56, 4 Si 2.68
Si 0.5000 0.0000 0.2113  4 Mn 2.45-2.56, 4 Si 2.68

Summary:
Space group = Cmm2 (35)
VASP energy = -4.2063 eV per atom
Total magnetization = 5.08 Bohr magnetons per cell
DOS at the Fermi energy = 0.6530 states/eV/atom